This record from the Alexandria database describes a PBEsol-optimized structure of CaLa3. The functional is meta-GGA SCAN.

Output
As for the energy: -138.852 eV/cell. The crystal system is tetragonal. The calculation puts the energy of formation at 0.032 eV per atom. The density of states at the Fermi level comes out at 5.4 states/eV/f.u.

a b c (Å): 3.6388 3.6388 10.6883
angles (deg): 90.00 90.00 90.00
Last column: nearest neighbours and their distance in Å.
Fractional coordinates of all 4 atoms:
La 0.5000 0.5000 0.2699  8 La 3.56-3.64, 4 Ca 3.87
La 0.0000 0.0000 0.5000  12 La 3.56-3.64
La 0.5000 0.5000 0.7301  8 La 3.56-3.64, 4 Ca 3.87
Ca 0.0000 0.0000 0.0000  4 Ca 3.64, 8 La 3.87